An optimized crystal structure of RbBi2Cl6. Source: Alexandria via LeMat-Bulk, functional PBE.

```
RbBi2Cl6
1.0
7.6296 0.0000 0.0000
-3.8148 6.6075 0.0000
0.0000 0.0000 6.7723
Rb Bi Cl
1 2 6
Direct
0.0000 0.0000 0.0000
0.3333 0.6667 0.5000
0.6667 0.3333 0.5000
0.0000 0.3634 0.7091
0.0000 0.6366 0.2909
0.3634 0.0000 0.7091
0.3634 0.3634 0.2909
0.6366 0.0000 0.2909
0.6366 0.6366 0.7091
```

Results
SG: No. 162
Fermi-level density of states in states/eV per atom: 0.421
Raw total energy in eV per cell: -29.579
Total moment in μB/cell: 0.5